Compound: PmZr2Ir
Source: Alexandria via LeMat-Bulk
Functional: GGA-PBE
Structure: optimized geometry

Cell lengths 3.3829, 3.3829, 7.8872 Å; angles 90.00, 90.00, 90.00 degrees
Element x y z (fractional)
Ir (0.5000, 0.5000, 0.0000)
Zr (0.0000, 0.0000, 0.8029)
Zr (0.0000, 0.0000, 0.1971)
Pm (0.5000, 0.5000, 0.5000)

Values from the calculation:
The space group is No. 123.

***

Compound: TiV2Cd
Source: Alexandria via LeMat-Bulk
Functional: GGA-PBE
Structure: optimized geometry

Cell lengths 3.7969, 3.7969, 9.9016 Å; angles 78.95, 78.95, 90.00 degrees
Element x y z (fractional)
Cd (0.0000, 0.0000, 0.0000)
Cd (0.7500, 0.2500, 0.5000)
Ti (0.5000, 0.5000, 0.0000)
Ti (0.2500, 0.7500, 0.5000)
V (0.6043, 0.1250, 0.2500)
V (0.1457, 0.6250, 0.2500)
V (0.3750, 0.3957, 0.7500)
V (0.8750, 0.8543, 0.7500)

Values from the calculation:
The space group is No. 122.

***

Compound: KTmCd2
Source: Alexandria via LeMat-Bulk
Functional: GGA-PBE
Structure: optimized geometry

Cell lengths 3.7991, 3.7991, 8.4785 Å; angles 90.00, 90.00, 90.00 degrees
Element x y z (fractional)
K (0.5000, 0.5000, 0.5000)
Tm (0.5000, 0.5000, 0.0000)
Cd (0.0000, 0.0000, 0.8012)
Cd (0.0000, 0.0000, 0.1988)

Values from the calculation:
The space group is No. 123.

***

| no. | calculated volume (Å³/f.u.) | DFT formation energy (meV/atom) | DOS at the Fermi energy (states/eV per cell) |
| --- | --- | --- | --- |
| 1 | 90 | -306 | 4.4 |
| 2 | 69 | 647 | 8.5 |
| 3 | 122 | -93 | 3.5 |